Entry 1:
An optimized crystal structure of NdScP2. Source: the Alexandria database, functional PBE.

Cell: 3.929 3.929 6.860 Å, 90.00 90.00 120.00°
Fractional positions:
Sc: 0.000 0.500 0.000
P: 0.333 0.167 0.225
P: 0.667 0.833 0.775
Nd: 0.000 0.500 0.500

Output
- E_form: -1.290 eV per atom
- Symmetry: No. 164
- VASP energy: -0.2488 hartree per atom

=====

Entry 2:
An optimized crystal structure of ZnMo2As. Source: the Alexandria database, functional PBE.

Cell: 4.457 4.457 4.457 Å, 60.00 60.00 60.00°
Fractional positions:
As: 0.500 0.500 0.500
Mo: 0.000 0.000 0.000
Mo: 0.250 0.250 0.250
Zn: 0.750 0.750 0.750

Output
- E_form: 0.314 eV per atom
- Symmetry: No. 216
- VASP energy: -0.2419 hartree per atom

=====

Entry 3:
An optimized crystal structure of UAsPRu3. Source: the Alexandria database, functional PBE.

Cell: 5.551 5.487 7.926 Å, 110.25 90.00 90.00°
Last column: magnetic moment on the atom in μB.
Fractional positions:
As: 0.250 0.404 0.809  -0.01
As: 0.750 0.596 0.191  -0.01
U: 0.750 0.295 0.590  2.05
U: 0.250 0.705 0.410  2.05
Ru: 0.250 0.240 0.481  -0.28
Ru: 0.000 0.752 0.000  0.03
Ru: 0.500 0.752 0.000  0.03
Ru: 0.500 0.248 0.000  0.03
Ru: 0.000 0.248 0.000  0.03
Ru: 0.750 0.760 0.519  -0.28
P: 0.250 0.084 0.168  -0.01
P: 0.750 0.916 0.832  -0.01

Output
- E_form: -0.315 eV per atom
- Symmetry: No. 63
- VASP energy: -0.3128 hartree per atom

=====

Entry 4:
An optimized crystal structure of La3TbY2Bi6. Source: the Alexandria database, functional PBE.

Cell: 7.975 7.975 7.939 Å, 99.63 99.63 119.99°
Fractional positions:
La: 0.167 0.833 0.500
La: 0.500 0.500 0.500
La: 0.833 0.167 0.500
Bi: 0.079 0.413 0.238
Bi: 0.921 0.587 0.762
Bi: 0.746 0.746 0.238
Bi: 0.254 0.254 0.762
Bi: 0.413 0.079 0.238
Bi: 0.587 0.921 0.762
Y: 0.333 0.667 0.000
Y: 0.667 0.333 0.000
Tb: 0.000 0.000 0.000

Output
- E_form: -0.972 eV per atom
- Symmetry: No. 12
- VASP energy: -0.2061 hartree per atom

=====

Entry 5:
An optimized crystal structure of La2PCN. Source: the Alexandria database, functional PBE.

Cell: 5.212 3.327 5.212 Å, 90.00 90.00 90.00°
Fractional positions:
P: 0.500 0.500 0.500
La: 0.500 0.000 0.000
La: 0.000 0.000 0.500
N: 0.000 0.500 0.000
C: 0.000 0.000 0.000

Output
- Symmetry: No. 123
- VASP energy: -0.2419 hartree per atom

=====

Entry 6:
An optimized crystal structure of CaNb2Te4Cl10O. Source: the Alexandria database, functional PBE.

Cell: 6.967 9.224 9.649 Å, 95.70 94.73 109.65°
Last column: magnetic moment on the atom in μB.
Fractional positions:
Cl: 0.494 0.840 0.198  0.00
Cl: 0.577 0.495 0.178  -0.01
Cl: 0.120 0.488 0.274  0.01
Cl: 0.401 0.510 0.805  -0.01
Cl: 0.155 0.191 0.560  0.01
Cl: 0.841 0.783 0.438  0.00
Cl: 0.530 0.172 0.795  0.00
Cl: 0.383 0.791 0.528  -0.01
Cl: 0.622 0.212 0.450  0.00
Cl: 0.865 0.516 0.716  0.01
Nb: 0.472 0.622 0.366  0.22
Nb: 0.515 0.364 0.645  0.44
Te: 0.771 0.911 0.842  0.10
Te: 0.230 0.089 0.148  0.06
Te: 0.930 0.192 0.018  0.05
Te: 0.054 0.805 0.977  0.10
O: 0.490 0.489 0.494  -0.03
Ca: 0.846 0.050 0.345  0.01

Output
- Symmetry: No. 1
- VASP energy: -0.1617 hartree per atom

=====

Entry 7:
An optimized crystal structure of NaLi2SeF. Source: the Alexandria database, functional PBE.

Cell: 4.144 4.144 4.383 Å, 90.00 90.00 90.00°
Fractional positions:
Se: 0.500 0.500 0.500
F: 0.000 0.000 0.000
Li: 0.500 0.000 0.000
Li: 0.000 0.500 0.000
Na: 0.000 0.000 0.500

Output
- Symmetry: No. 123
- VASP energy: -0.1422 hartree per atom

=====

Entry 8:
An optimized crystal structure of SrTePdI2. Source: the Alexandria database, functional PBE.

Cell: 5.468 5.468 5.610 Å, 90.00 90.00 90.00°
Fractional positions:
Sr: 0.500 0.500 0.500
Te: 0.000 0.000 0.500
I: 0.000 0.500 0.000
I: 0.500 0.000 0.000
Pd: 0.000 0.000 0.000

Output
- Symmetry: No. 123
- VASP energy: -0.1222 hartree per atom

=====

Entry 9:
An optimized crystal structure of La2ReAgTe. Source: the Alexandria database, functional PBE.

Cell: 5.978 4.819 5.978 Å, 90.00 90.00 90.00°
Fractional positions:
Ag: 0.500 0.500 0.500
Te: 0.000 0.000 0.000
La: 0.500 0.000 0.000
La: 0.000 0.000 0.500
Re: 0.000 0.500 0.000

Output
- Symmetry: No. 123
- VASP energy: -0.1865 hartree per atom

=====

Entry 10:
An optimized crystal structure of Y3BeBr. Source: the Alexandria database, functional PBE.

Cell: 5.283 5.283 5.283 Å, 90.00 90.00 90.00°
Fractional positions:
Br: 0.500 0.500 0.500
Y: 0.500 0.000 0.000
Y: 0.000 0.500 0.000
Y: 0.000 0.000 0.500
Be: 0.000 0.000 0.000

Output
- Symmetry: No. 221
- VASP energy: -0.1805 hartree per atom

=====

Entry 11:
An optimized crystal structure of Mn2Se. Source: the Alexandria database, functional PBE.

Cell: 3.299 6.815 3.976 Å, 90.00 90.00 90.00°
Last column: magnetic moment on the atom in μB.
Fractional positions:
Mn: 0.000 0.212 0.500  2.53
Mn: 0.500 0.288 0.000  2.53
Mn: 0.500 0.712 0.000  2.53
Mn: 0.000 0.788 0.500  2.53
Se: 0.000 0.000 0.000  -0.05
Se: 0.500 0.500 0.500  -0.05

Output
- Symmetry: No. 71
- VASP energy: -0.2600 hartree per atom

=====

Entry 12:
An optimized crystal structure of Mn2InPt. Source: the Alexandria database, functional PBE.

Cell: 4.530 4.530 4.530 Å, 60.00 60.00 60.00°
Last column: magnetic moment on the atom in μB.
Fractional positions:
Mn: 0.250 0.250 0.250  3.69
Mn: 0.000 0.000 0.000  3.71
Pt: 0.750 0.750 0.750  0.30
In: 0.500 0.500 0.500  -0.06

Output
- E_form: -0.056 eV per atom
- Symmetry: No. 216
- VASP energy: -0.2512 hartree per atom